KSrRu2 | Alexandria | PBE | optimized geometry; DFT formation energy = 900 meV per atom; magnetic moment = 0.222 μB per atom; space group = P2/m, No. 10; energy above the most stable polymorph in this dataset = 11.470 kcal/mol of atoms
1.0
2.988 0.000 0.000
0.000 5.081 0.000
-0.175 0.000 7.290
K Sr Ru
1 1 2
direct
0.000 0.000 0.000
0.000 0.000 0.500
0.490 0.500 0.344
0.510 0.500 0.656

Nd3Ag5Sn2 | Alexandria | PBE | optimized geometry; DFT formation energy = -263 meV per atom; magnetic moment = 0.022 μB per atom; space group = Ibam, No. 72
1.0
-5.675 7.346 3.088
5.675 -7.346 3.088
5.675 7.346 -3.088
Nd Ag Sn
6 10 4
direct
0.146 0.704 0.850
0.250 0.250 0.000
0.354 0.204 0.558
0.646 0.796 0.442
0.750 0.750 0.000
0.854 0.296 0.150
0.041 0.250 0.791
0.146 0.424 0.570
0.250 0.750 0.500
0.354 0.924 0.278
0.459 0.250 0.209
0.541 0.750 0.791
0.646 0.076 0.722
0.750 0.250 0.500
0.854 0.576 0.430
0.959 0.750 0.209
0.121 0.187 0.308
0.379 0.687 0.066
0.621 0.313 0.934
0.879 0.813 0.692